AcTbMg2 | PBE-GGA | relaxed

Lattice parameters (Å, degrees): 3.9344 3.9344 8.0247 90.00 90.00 90.00
Element x y z (fractional)
1 Ac 0.0000 0.0000 0.0000
2 Tb 0.0000 0.0000 0.5000
3 Mg 0.5000 0.5000 0.2803
4 Mg 0.5000 0.5000 0.7197

- final energy (eV per atom) = -3.051
- energy of formation from the pure elements (eV/f.u.) = -0.28

Ac2TbMgTe5 | PBE-GGA | relaxed

Lattice parameters (Å, degrees): 10.0294 10.0294 13.7510 90.00 90.00 153.98
Element x y z (fractional)
1 Ac 0.1146 0.8854 0.5000
2 Ac 0.1326 0.8674 0.1239
3 Ac 0.8674 0.1326 0.6239
4 Ac 0.8854 0.1146 0.0000
5 Tb 0.2011 0.7989 0.8282
6 Tb 0.7989 0.2011 0.3282
7 Mg 0.4443 0.5557 0.2667
8 Mg 0.5557 0.4443 0.7667
9 Te 0.0474 0.9526 0.8798
10 Te 0.2871 0.7129 0.4824
11 Te 0.3111 0.6889 0.1691
12 Te 0.3592 0.6408 0.8156
13 Te 0.4957 0.5043 0.5885
14 Te 0.5043 0.4957 0.0885
15 Te 0.6408 0.3592 0.3156
16 Te 0.6889 0.3111 0.6691
17 Te 0.7129 0.2871 0.9824
18 Te 0.9526 0.0474 0.3798

- final energy (eV per atom) = -4.717
- formation energy without anion corrections (kcal/mol of atoms) = -31.52

Ac3Tb2Mg2Tl4 | PBE-GGA | relaxed

Lattice parameters (Å, degrees): 5.1792 5.1792 15.8165 90.00 90.00 120.00
Element x y z (fractional)
1 Ac 0.0000 0.0000 0.0000
2 Ac 0.0000 0.0000 0.2605
3 Ac 0.0000 0.0000 0.7395
4 Tb 0.3333 0.6667 0.5679
5 Tb 0.6667 0.3333 0.4321
6 Mg 0.3333 0.6667 0.1311
7 Mg 0.6667 0.3333 0.8689
8 Tl 0.3333 0.6667 0.3684
9 Tl 0.3333 0.6667 0.8752
10 Tl 0.6667 0.3333 0.1248
11 Tl 0.6667 0.3333 0.6316

- final energy (eV per atom) = -3.319
- energy of formation from the pure elements (eV/f.u.) = -2.27

AcTbTmMg | PBE-GGA | relaxed

Lattice parameters (Å, degrees): 5.6898 5.6898 5.6898 60.00 60.00 60.00
Element x y z (fractional)
1 Ac 0.0000 0.0000 0.0000
2 Tb 0.5000 0.5000 0.5000
3 Tm 0.7500 0.7500 0.7500
4 Mg 0.2500 0.2500 0.2500

- final energy (eV per atom) = -3.651
- energy of formation from the pure elements (eV/f.u.) = 0.20

AcTbYMg | PBE-GGA | relaxed

Lattice parameters (Å, degrees): 5.7112 5.7112 5.7112 60.00 60.00 60.00
Element x y z (fractional)
1 Ac 0.0000 0.0000 0.0000
2 Tb 0.7500 0.7500 0.7500
3 Y 0.2500 0.2500 0.2500
4 Mg 0.5000 0.5000 0.5000

- final energy (eV per atom) = -4.062
- energy of formation from the pure elements (eV/f.u.) = 0.55

Ac2MgTc | PBE-GGA | relaxed

Lattice parameters (Å, degrees): 11.6530 11.6530 11.6530 17.56 17.56 17.56
Element x y z (fractional)
1 Ac 0.0770 0.0770 0.0770
2 Ac 0.9230 0.9230 0.9230
3 Mg 0.5000 0.5000 0.5000
4 Tc 0.0000 0.0000 0.0000

- final energy (eV per atom) = -4.183
- energy of formation from the pure elements (eV/f.u.) = 3.44

Ac2MgTe4 | PBE-GGA | relaxed

Lattice parameters (Å, degrees): 6.9568 6.9568 9.1939 117.16 117.16 37.96
Element x y z (fractional)
1 Ac 0.1660 0.1660 0.1909
2 Ac 0.8340 0.8340 0.8091
3 Mg 0.5000 0.5000 0.5000
4 Te 0.1572 0.1572 0.5514
5 Te 0.4276 0.4276 0.1328
6 Te 0.5724 0.5724 0.8672
7 Te 0.8428 0.8428 0.4486

- final energy (eV per atom) = -4.519
- formation energy without anion corrections (kcal/mol of atoms) = -30.49

AcMgTe2 | PBE-GGA | relaxed

Lattice parameters (Å, degrees): 5.6204 5.6204 5.6204 60.00 60.00 60.00
Element x y z (fractional)
1 Ac 0.0000 0.0000 0.0000
2 Mg 0.5000 0.5000 0.5000
3 Te 0.2500 0.2500 0.2500
4 Te 0.7500 0.7500 0.7500

- final energy (eV per atom) = -3.936
- excess energy over the best structure of this formula in the dataset (eV/f.u.) = 0.69
- formation energy without anion corrections (kcal/mol of atoms) = -21.66

AcMgTe2 | PBE-GGA | relaxed

Lattice parameters (Å, degrees): 5.4712 5.4712 4.0760 90.00 90.00 90.00
Element x y z (fractional)
1 Ac 0.0000 0.0000 0.0000
2 Mg 0.5000 0.5000 0.0000
3 Te 0.0000 0.5000 0.5000
4 Te 0.5000 0.0000 0.5000

- final energy (eV per atom) = -4.017
- excess energy over the best structure of this formula in the dataset (eV/f.u.) = 0.37
- formation energy without anion corrections (kcal/mol of atoms) = -23.54

AcMgTe2 | PBE-GGA | relaxed

Lattice parameters (Å, degrees): 9.7497 9.7497 9.7497 28.33 28.33 28.33
Element x y z (fractional)
1 Ac 0.0000 0.0000 0.0000
2 Mg 0.5000 0.5000 0.5000
3 Te 0.4001 0.4001 0.4001
4 Te 0.5999 0.5999 0.5999

- final energy (eV per atom) = -3.842
- excess energy over the best structure of this formula in the dataset (eV/f.u.) = 1.07
- formation energy without anion corrections (kcal/mol of atoms) = -19.50

Ac4MgTe7 | PBE-GGA | relaxed

Lattice parameters (Å, degrees): 7.9308 7.9308 13.4978 104.58 104.58 33.69
Element x y z (fractional)
1 Ac 0.0000 0.0000 0.0000
2 Ac 0.2079 0.2079 0.7698
3 Ac 0.5952 0.5952 0.3565
4 Ac 0.8991 0.8991 0.5432
5 Mg 0.7699 0.7699 0.1243
6 Te 0.1729 0.1729 0.2088
7 Te 0.2350 0.2350 0.5128
8 Te 0.3570 0.3570 0.0341
9 Te 0.5609 0.5609 0.6092
10 Te 0.6302 0.6302 0.9224
11 Te 0.8626 0.8626 0.7702
12 Te 0.9291 0.9291 0.3114

- final energy (eV per atom) = -4.762
- formation energy without anion corrections (kcal/mol of atoms) = -32.90

Ac2MgTe3 | PBE-GGA | relaxed

Lattice parameters (Å, degrees): 9.5742 9.5742 9.5742 153.58 147.54 42.33
Element x y z (fractional)
1 Ac 0.1407 0.1407 0.0000
2 Ac 0.8593 0.8593 0.0000
3 Mg 0.5000 0.5000 0.0000
4 Te 0.0000 0.5000 0.5000
5 Te 0.3291 0.3291 0.0000
6 Te 0.6709 0.6709 0.0000

- final energy (eV per atom) = -4.395
- formation energy without anion corrections (kcal/mol of atoms) = -27.41

Ac3MgTe6 | PBE-GGA | relaxed

Lattice parameters (Å, degrees): 10.5895 10.5895 7.3674 90.00 90.00 102.26
Element x y z (fractional)
1 Ac 0.1183 0.8817 0.5000
2 Ac 0.2173 0.4321 0.5797
3 Ac 0.4321 0.2173 0.0797
4 Ac 0.5679 0.7827 0.5797
5 Ac 0.7827 0.5679 0.0797
6 Ac 0.8817 0.1183 0.0000
7 Mg 0.3051 0.6949 0.1397
8 Mg 0.6949 0.3051 0.6397
9 Te 0.0655 0.5934 0.2984
10 Te 0.1435 0.1754 0.2925
11 Te 0.1754 0.1435 0.7925
12 Te 0.2793 0.7207 0.7699
13 Te 0.4066 0.9345 0.2984
14 Te 0.4668 0.5332 0.2740
15 Te 0.5332 0.4668 0.7740
16 Te 0.5934 0.0655 0.7984
17 Te 0.7207 0.2793 0.2699
18 Te 0.8246 0.8565 0.2925
19 Te 0.8565 0.8246 0.7925
20 Te 0.9345 0.4066 0.7984

- final energy (eV per atom) = -4.575
- formation energy without anion corrections (kcal/mol of atoms) = -29.92